Entry 1:
Density functional theory data (PBE) for crystalline Nb2InSiPd at its relaxed geometry.

Unit cell a=5.003 b=5.003 c=4.392 alpha=90.00 beta=90.00 gamma=90.00
Space group P4/mmm (No. 123)
Symmetry-distinct sites (fractional):
1 Nb 0.000 0.500 0.000
2 In 0.000 0.000 0.500
3 Si 0.500 0.500 0.500
4 Pd 0.500 0.500 0.000

Results
* magnetic moment: 0.00 μB per formula unit
* D(E_F): 1.05 states/eV/atom
* uncorrected energy: -5.85 eV per atom
* crystal system: tetragonal
* density: 6.57 g cm⁻³
* uncorrected formation energy: 81.5 kJ per mole of atoms

***

Entry 2:
Density functional theory data (PBE) for crystalline AcCe4Ga5 at its relaxed geometry.

Unit cell a=3.877 b=3.877 c=16.551 alpha=90.00 beta=90.00 gamma=90.00
Space group P4/mmm (No. 123)
Symmetry-distinct sites (fractional):
1 Ac 0.000 0.000 0.000
2 Ce 0.000 0.000 0.223
3 Ce 0.000 0.000 0.398
4 Ga 0.500 0.500 0.122
5 Ga 0.500 0.500 0.309
6 Ga 0.500 0.500 0.500

Results
* calculated formation energy: -0.44 eV/atom
* magnetic moment: 2.12 μB per formula unit
* D(E_F): 1.87 states/eV/atom
* uncorrected energy: -4.74 eV per atom
* crystal system: tetragonal
* density: 7.58 g cm⁻³

***

Entry 3:
Density functional theory data (PBE) for crystalline TbDy2Au at its relaxed geometry.

Unit cell a=4.723 b=4.723 c=4.721 alpha=90.00 beta=90.00 gamma=90.00
Space group P4/mmm (No. 123)
Symmetry-distinct sites (fractional):
1 Tb 0.000 0.000 0.000
2 Dy 0.000 0.500 0.500
3 Au 0.500 0.500 0.000

Results
* calculated formation energy: -0.25 eV/atom
* magnetic moment: 0.00 μB per formula unit
* D(E_F): 1.28 states/eV/atom
* uncorrected energy: -4.52 eV per atom
* crystal system: tetragonal
* density: 10.73 g cm⁻³

***

Which of these has the highest D(E_F)?
AcCe4Ga5

***

What did the second record say?
Density functional theory data (PBE) for crystalline AcCe4Ga5 at its relaxed geometry.

Unit cell a=3.877 b=3.877 c=16.551 alpha=90.00 beta=90.00 gamma=90.00
Space group P4/mmm (No. 123)
Symmetry-distinct sites (fractional):
1 Ac 0.000 0.000 0.000
2 Ce 0.000 0.000 0.223
3 Ce 0.000 0.000 0.398
4 Ga 0.500 0.500 0.122
5 Ga 0.500 0.500 0.309
6 Ga 0.500 0.500 0.500

Results
* calculated formation energy: -0.44 eV/atom
* magnetic moment: 2.12 μB per formula unit
* D(E_F): 1.87 states/eV/atom
* uncorrected energy: -4.74 eV per atom
* crystal system: tetragonal
* density: 7.58 g cm⁻³